Tb3As4Rh7 GGA-PBE relaxed; energy relative to the elements = -0.921 eV per atom; total DFT energy (no corrections) = -96.84 eV per formula unit; volume = 17.217 Å³/atom; symmetry = C2/m (12); total magnetic moment = 0.00 μB per formula unit
1.0
3.936 0.000 0.993
1.433 7.361 2.615
-0.007 0.027 8.326
Tb As Rh
3 4 7
Direct
0.332 0.174 0.163
0.668 0.826 0.837
0.000 0.500 0.500
0.666 0.438 0.230
0.334 0.562 0.770
0.891 0.888 0.330
0.109 0.112 0.670
0.303 0.855 0.540
0.491 0.237 0.780
0.833 0.408 0.925
0.697 0.145 0.460
0.167 0.592 0.075
0.000 0.000 0.000
0.509 0.763 0.220

Zr3Si23 GGA-PBE relaxed; total DFT energy (no corrections) = -142.54 eV per formula unit; volume = 19.396 Å³/atom; formation energy from raw total energies = 301.5 meV/atom; symmetry = Pm-3n (223); total magnetic moment = 0.00 μB per formula unit
1.0
10.029 0.000 0.000
0.000 10.029 0.000
0.000 0.000 10.029
Zr Si
6 46
Direct
0.250 0.500 0.000
0.750 0.500 0.000
0.500 0.000 0.250
0.500 0.000 0.750
0.000 0.250 0.500
0.000 0.750 0.500
0.250 0.000 0.500
0.750 0.000 0.500
0.000 0.500 0.250
0.000 0.500 0.750
0.500 0.250 0.000
0.500 0.750 0.000
0.684 0.684 0.684
0.684 0.316 0.316
0.316 0.684 0.316
0.316 0.316 0.684
0.816 0.816 0.816
0.816 0.184 0.184
0.184 0.816 0.184
0.184 0.184 0.816
0.316 0.316 0.316
0.316 0.684 0.684
0.684 0.316 0.684
0.684 0.684 0.316
0.184 0.184 0.184
0.184 0.816 0.816
0.816 0.184 0.816
0.816 0.816 0.184
0.000 0.688 0.884
0.000 0.312 0.116
0.000 0.688 0.116
0.000 0.312 0.884
0.688 0.884 0.000
0.688 0.116 0.000
0.312 0.884 0.000
0.312 0.116 0.000
0.884 0.000 0.688
0.884 0.000 0.312
0.116 0.000 0.312
0.116 0.000 0.688
0.812 0.500 0.616
0.812 0.500 0.384
0.188 0.500 0.384
0.188 0.500 0.616
0.500 0.616 0.812
0.500 0.384 0.188
0.500 0.616 0.188
0.500 0.384 0.812
0.616 0.812 0.500
0.616 0.188 0.500
0.384 0.812 0.500
0.384 0.188 0.500

Question: Which value of volume does entry 1 give?
Answer: 17.217 Å³/atom